Crystalline LiCa2Au3 at its relaxed geometry. Source: Alexandria via LeMat-Bulk, functional PBE.

Properties
Polymorph energy (0 for the lowest one) (meV per atom): 0.0
Crystal system: orthorhombic
Size of the total moment (μB/atom): 0.000
D(E_F) (states/eV per atom): 0.24
ΔH_f (0 K) (eV per atom): -0.668
Theoretical density (g cm⁻³): 8.26
Space group: Fmmm (69)

Unit cell a=5.913 b=5.913 c=8.823 alpha=104.68 beta=104.68 gamma=104.11
Fractional coordinates of all 12 atoms:
Li: 0.668 0.668 0.336
Li: 0.332 0.332 0.664
Ca: 0.250 0.750 0.500
Ca: 0.751 0.751 0.000
Ca: 0.750 0.250 0.500
Ca: 0.249 0.249 0.000
Au: 0.352 0.823 0.175
Au: 0.177 0.648 0.825
Au: 0.648 0.177 0.825
Au: 0.823 0.352 0.175
Au: 0.174 0.174 0.347
Au: 0.826 0.826 0.653